Entry 1:
Here is a geometry-optimized CuRhS2 structure from Alexandria. Energies are from PBE.

total magnetization = 0.00 μB per atom
total energy = -5.14 eV/atom

a = 6.7443 Å, b = 7.2676 Å, c = 5.7985 Å
α = 90.00°, β = 90.00°, γ = 90.00°
Element x y z (fractional)
Cu  0.0450  0.1240  0.0000
Cu  0.4550  0.6240  0.5000
Cu  0.5450  0.3760  0.0000
Cu  0.9550  0.8760  0.5000
Rh  0.1021  0.5902  0.0275
Rh  0.3979  0.0902  0.5275
Rh  0.6021  0.9098  0.0275
Rh  0.8979  0.4098  0.5275
S  0.0744  0.1519  0.6117
S  0.1298  0.6304  0.6362
S  0.3702  0.1304  0.1362
S  0.4256  0.6519  0.1117
S  0.5744  0.3481  0.6117
S  0.6298  0.8696  0.6362
S  0.8702  0.3696  0.1362
S  0.9256  0.8481  0.1117


Entry 2:
Here is a geometry-optimized NaLiSc2Te4 structure from Alexandria. Energies are from PBE.

total magnetization = 0.00 μB per atom
total energy = -4.68 eV/atom

a = 7.3085 Å, b = 7.3085 Å, c = 15.0461 Å
α = 90.00°, β = 90.00°, γ = 146.36°
Element x y z (fractional)
Na  0.1217  0.8783  0.7500
Na  0.8783  0.1217  0.2500
Li  0.1588  0.8412  0.2500
Li  0.8412  0.1588  0.7500
Sc  0.3680  0.6320  0.5675
Sc  0.3680  0.6320  0.9325
Sc  0.6320  0.3680  0.0675
Sc  0.6320  0.3680  0.4325
Te  0.0000  0.0000  0.0000
Te  0.0000  0.0000  0.5000
Te  0.2716  0.7284  0.1079
Te  0.2716  0.7284  0.3921
Te  0.4524  0.5476  0.7500
Te  0.5476  0.4524  0.2500
Te  0.7284  0.2716  0.6079
Te  0.7284  0.2716  0.8921


Entry 3:
Here is a geometry-optimized Sr3HfTl structure from Alexandria. Energies are from PBE.

total magnetization = 0.59 μB per atom
formation energy = 749 meV per atom
excess energy over the best structure of this formula in the dataset = 0 meV/atom

a = 6.2262 Å, b = 6.2262 Å, c = 6.2262 Å
α = 90.00°, β = 90.00°, γ = 90.00°
Element x y z (fractional)
Sr  0.0000  0.0000  0.5000
Sr  0.0000  0.5000  0.0000
Sr  0.5000  0.0000  0.0000
Hf  0.5000  0.5000  0.5000
Tl  0.0000  0.0000  0.0000


Entry 4:
Here is a geometry-optimized AcNdDy2Hg4 structure from Alexandria. Energies are from PBE.

total magnetization = 0.13 μB per atom
formation energy = -445 meV per atom

a = 9.5042 Å, b = 9.5042 Å, c = 9.5042 Å
α = 33.05°, β = 33.05°, γ = 33.05°
Element x y z (fractional)
Ac  0.0000  0.0000  0.0000
Nd  0.5000  0.5000  0.5000
Dy  0.2471  0.2471  0.2471
Dy  0.7529  0.7529  0.7529
Hg  0.1272  0.1272  0.1272
Hg  0.3801  0.3801  0.3801
Hg  0.6199  0.6199  0.6199
Hg  0.8728  0.8728  0.8728


Entry 5:
Here is a geometry-optimized Be3Co5 structure from Alexandria. Energies are from PBE.

total magnetization = 0.69 μB per atom
formation energy = -157 meV per atom
excess energy over the best structure of this formula in the dataset = 64 meV/atom

a = 6.3100 Å, b = 6.3100 Å, c = 6.3045 Å
α = 96.58°, β = 96.58°, γ = 140.31°
Element x y z (fractional)
Be  0.1709  0.8291  0.0000
Be  0.2500  0.7500  0.5000
Be  0.3300  0.3300  0.6583
Be  0.6700  0.6700  0.3417
Be  0.7500  0.2500  0.5000
Be  0.8291  0.1709  0.0000
Co  0.0732  0.2763  0.3495
Co  0.2238  0.5731  0.7970
Co  0.2499  0.2499  0.9998
Co  0.2763  0.0732  0.3495
Co  0.4269  0.7762  0.2030
Co  0.5731  0.2238  0.7970
Co  0.7237  0.9268  0.6505
Co  0.7501  0.7501  0.0002
Co  0.7762  0.4269  0.2030
Co  0.9268  0.7237  0.6505


Entry 6:
Here is a geometry-optimized ScSn2B structure from Alexandria. Energies are from PBE.

total magnetization = 0.00 μB per atom
formation energy = 152 meV per atom

a = 7.2968 Å, b = 7.2968 Å, c = 6.0049 Å
α = 90.00°, β = 90.00°, γ = 90.00°
Element x y z (fractional)
Sc  0.0000  0.0000  0.0000
Sc  0.0000  0.5000  0.2500
Sc  0.5000  0.0000  0.7500
Sc  0.5000  0.5000  0.5000
Sn  0.1774  0.2500  0.6250
Sn  0.2500  0.6774  0.8750
Sn  0.2500  0.8226  0.3750
Sn  0.3226  0.2500  0.1250
Sn  0.6774  0.7500  0.1250
Sn  0.7500  0.1774  0.3750
Sn  0.7500  0.3226  0.8750
Sn  0.8226  0.7500  0.6250
B  0.0000  0.0000  0.5000
B  0.0000  0.5000  0.7500
B  0.5000  0.0000  0.2500
B  0.5000  0.5000  0.0000


Entry 7:
Here is a geometry-optimized BaBe2W structure from Alexandria. Energies are from PBE.

total magnetization = 0.00 μB per atom
formation energy = 546 meV per atom
excess energy over the best structure of this formula in the dataset = 0 meV/atom

a = 3.2135 Å, b = 3.2474 Å, c = 6.9384 Å
α = 90.00°, β = 90.00°, γ = 90.00°
Element x y z (fractional)
Ba  0.0000  0.0000  0.0000
Be  0.5000  0.5000  0.3553
Be  0.5000  0.5000  0.6447
W  0.0000  0.0000  0.5000


Entry 8:
Here is a geometry-optimized LaSm6Tm12 structure from Alexandria. Energies are from PBE.

total magnetization = 0.00 μB per atom
formation energy = 111 meV per atom
excess energy over the best structure of this formula in the dataset = 0 meV/atom

a = 8.5716 Å, b = 8.5716 Å, c = 8.5716 Å
α = 79.68°, β = 79.68°, γ = 79.68°
Element x y z (fractional)
La  0.0000  0.0000  0.0000
Sm  0.1634  0.7709  0.7709
Sm  0.2291  0.2291  0.8366
Sm  0.2291  0.8366  0.2291
Sm  0.7709  0.1634  0.7709
Sm  0.7709  0.7709  0.1634
Sm  0.8366  0.2291  0.2291
Tm  0.1375  0.1375  0.4790
Tm  0.1375  0.4790  0.1375
Tm  0.1965  0.5165  0.5165
Tm  0.4790  0.1375  0.1375
Tm  0.4835  0.4835  0.8035
Tm  0.4835  0.8035  0.4835
Tm  0.5165  0.1965  0.5165
Tm  0.5165  0.5165  0.1965
Tm  0.5210  0.8625  0.8625
Tm  0.8035  0.4835  0.4835
Tm  0.8625  0.5210  0.8625
Tm  0.8625  0.8625  0.5210


Entry 9:
Here is a geometry-optimized TbGdInNi structure from Alexandria. Energies are from PBE.

total magnetization = 1.78 μB per atom
formation energy = -299 meV per atom

a = 7.2594 Å, b = 7.2594 Å, c = 7.2594 Å
α = 90.00°, β = 90.00°, γ = 90.00°
Element x y z (fractional)
Tb  0.0000  0.0000  0.0000
Tb  0.0000  0.5000  0.5000
Tb  0.5000  0.0000  0.5000
Tb  0.5000  0.5000  0.0000
Gd  0.0000  0.0000  0.5000
Gd  0.0000  0.5000  0.0000
Gd  0.5000  0.0000  0.0000
Gd  0.5000  0.5000  0.5000
In  0.2500  0.2500  0.7500
In  0.2500  0.7500  0.2500
In  0.7500  0.2500  0.2500
In  0.7500  0.7500  0.7500
Ni  0.2500  0.2500  0.2500
Ni  0.2500  0.7500  0.7500
Ni  0.7500  0.2500  0.7500
Ni  0.7500  0.7500  0.2500


Entry 10:
Here is a geometry-optimized La2TaHg structure from Alexandria. Energies are from PBE.

total magnetization = 0.00 μB per atom
formation energy = 258 meV per atom

a = 4.6453 Å, b = 4.6453 Å, c = 9.7205 Å
α = 90.00°, β = 90.00°, γ = 90.00°
Element x y z (fractional)
La  0.0000  0.0000  0.0000
La  0.0000  0.5000  0.2500
La  0.5000  0.0000  0.7500
La  0.5000  0.5000  0.5000
Ta  0.0000  0.5000  0.7500
Ta  0.5000  0.0000  0.2500
Hg  0.0000  0.0000  0.5000
Hg  0.5000  0.5000  0.0000


Entry 11:
Here is a geometry-optimized AcCuSi structure from Alexandria. Energies are from PBE.

total magnetization = 0.00 μB per atom
excess energy over the best structure of this formula in the dataset = 278 meV/atom

a = 6.6764 Å, b = 6.6764 Å, c = 6.6764 Å
α = 90.00°, β = 90.00°, γ = 90.00°
Element x y z (fractional)
Ac  0.0000  0.0000  0.0000
Ac  0.0000  0.5000  0.5000
Ac  0.5000  0.0000  0.5000
Ac  0.5000  0.5000  0.0000
Cu  0.2500  0.2500  0.2500
Cu  0.2500  0.7500  0.7500
Cu  0.7500  0.2500  0.7500
Cu  0.7500  0.7500  0.2500
Si  0.0000  0.0000  0.5000
Si  0.0000  0.5000  0.0000
Si  0.5000  0.0000  0.0000
Si  0.5000  0.5000  0.5000


Entry 12:
Here is a geometry-optimized SmZnCu structure from Alexandria. Energies are from PBE.

total magnetization = 0.00 μB per atom
formation energy = -117 meV per atom

a = 6.4312 Å, b = 6.4312 Å, c = 6.4312 Å
α = 90.00°, β = 90.00°, γ = 90.00°
Element x y z (fractional)
Sm  0.0000  0.0000  0.0000
Sm  0.0000  0.5000  0.5000
Sm  0.5000  0.0000  0.5000
Sm  0.5000  0.5000  0.0000
Zn  0.0000  0.0000  0.5000
Zn  0.0000  0.5000  0.0000
Zn  0.5000  0.0000  0.0000
Zn  0.5000  0.5000  0.5000
Cu  0.2500  0.2500  0.2500
Cu  0.2500  0.7500  0.7500
Cu  0.7500  0.2500  0.7500
Cu  0.7500  0.7500  0.2500


Q: total magnetization of number 5 (Be3Co5)?
A: 0.69 μB per atom


Please write out number 10 again, unchanged.
Here is a geometry-optimized La2TaHg structure from Alexandria. Energies are from PBE.

total magnetization = 0.00 μB per atom
formation energy = 258 meV per atom

a = 4.6453 Å, b = 4.6453 Å, c = 9.7205 Å
α = 90.00°, β = 90.00°, γ = 90.00°
Element x y z (fractional)
La  0.0000  0.0000  0.0000
La  0.0000  0.5000  0.2500
La  0.5000  0.0000  0.7500
La  0.5000  0.5000  0.5000
Ta  0.0000  0.5000  0.7500
Ta  0.5000  0.0000  0.2500
Hg  0.0000  0.0000  0.5000
Hg  0.5000  0.5000  0.0000


Q: Number 8 is which compound?
A: LaSm6Tm12